No. 1
First-principles (meta-GGA SCAN) data for a PBEsol-optimized structure of KCd2Pt, as listed in Alexandria.

Computed properties:
Its spin magnetization is 0.00 μB per atom.

Cell and atoms, written as POSCAR:
```
KCd2Pt
1.0
-2.8186 -0.7224 0.6638
0.4913 -3.9528 -2.2154
3.5458 -1.0001 7.2591
K Pt Cd
1 1 2
Direct
0.5714 0.5714 0.1428 K
0.2610 0.7610 0.5220 Pt
0.9129 0.9129 0.8257 Cd
0.7547 0.2547 0.5094 Cd
```

No. 2
First-principles (meta-GGA SCAN) data for a PBEsol-optimized structure of KCdPt, as listed in Alexandria.

Computed properties:
Its spin magnetization is 0.00 μB per atom.

Cell and atoms, written as POSCAR:
```
KCdPt
1.0
4.8836 0.0000 0.0000
2.4418 4.2293 0.0000
2.4418 1.4098 3.9874
Cd K Pt
1 1 1
Direct
0.5000 0.5000 0.5000 Cd
0.2500 0.2500 0.2500 K
0.0000 0.0000 0.0000 Pt
```

Number 1: DFT total energy -35.0371 eV per atom, DFT formation energy -0.199 eV per atom. Number 2: DFT total energy -35.5597 eV per atom, DFT formation energy 0.752 eV per atom.